Y4Tm7Th | the Alexandria database | PBE | optimized geometry; energy relative to the elements = 0.3178 eV/atom; space-group type = No. 12; theoretical density = 7.5 g/cm³
1.0
5.8752 0.0000 0.0000
2.9376 11.0342 -0.3642
2.9376 0.1621 6.0173
Y Tm Th
4 7 1
Cartesian
5.8752 2.5550 2.9565
8.8128 7.6366 4.6323
5.8752 8.6414 2.6966
2.9376 3.5598 1.0208
5.8752 5.5451 1.2241
5.8752 5.6513 4.4290
2.9376 0.0000 0.0000
2.9376 0.9276 2.9547
8.8128 3.7002 4.6852
2.9376 7.4961 0.9679
8.8128 10.2687 2.6983
0.0000 0.0000 0.0000